# 1
Density functional theory data (PBE) for CaPm6Dy8 after structural relaxation.

Output
formation energy	0.18	eV/atom
DFT total energy	-4.306	eV per atom

Cell: 8.254 8.254 8.254 Å, 72.17 72.17 72.17°
Atoms (fractional coordinates):
Ca 0.000 0.000 0.000
Pm 0.171 0.433 0.619
Pm 0.381 0.829 0.567
Pm 0.433 0.619 0.171
Pm 0.567 0.381 0.829
Pm 0.619 0.171 0.433
Pm 0.829 0.567 0.381
Dy 0.052 0.865 0.377
Dy 0.135 0.623 0.948
Dy 0.235 0.235 0.235
Dy 0.377 0.052 0.865
Dy 0.623 0.948 0.135
Dy 0.765 0.765 0.765
Dy 0.865 0.377 0.052
Dy 0.948 0.135 0.623

# 2
Density functional theory data (PBE) for Rb2TlAg2 after structural relaxation.

Output
formation energy	0.33	eV/atom
DFT total energy	-1.670	eV per atom

Cell: 8.188 8.188 8.188 Å, 141.45 141.45 55.67°
Atoms (fractional coordinates):
Rb 0.250 0.750 0.500
Rb 0.750 0.250 0.500
Tl 0.000 0.000 0.000
Ag 0.406 0.406 0.000
Ag 0.594 0.594 0.000

# 3
Density functional theory data (PBE) for K2AcTaS4 after structural relaxation.

Output
uncorrected formation energy	-1.174	eV/atom
DFT total energy	-5.508	eV per atom

Cell: 6.716 6.716 6.716 Å, 111.97 111.97 104.57°
Atoms (fractional coordinates):
K 0.000 0.000 0.000
K 0.750 0.250 0.500
Ac 0.250 0.750 0.500
Ta 0.500 0.500 0.000
S 0.265 0.213 0.557
S 0.291 0.735 0.948
S 0.656 0.709 0.443
S 0.787 0.344 0.052